(1)
## Mg2FeIrO6 (PBE with a Hubbard U)

Data for a relaxed structure of Mg2FeIrO6.

Cell and atoms, written as POSCAR:
```
Mg2FeIrO6
1.0
5.1663 0.0005 0.0004
2.5836 4.4742 0.0000
2.5834 1.4916 4.6104
O Ir Mg Fe
6 1 2 1
Cartesian
3.6081 3.0537 3.5082 O
4.1703 4.5872 1.1801 O
6.0068 4.2973 3.5080 O
7.0548 3.0444 1.1810 O
4.2751 1.3181 1.1811 O
5.8846 1.5984 3.5079 O
2.5832 1.4914 0.1743 Ir
5.1667 2.9831 1.9529 Mg
2.5834 1.4918 4.3294 Mg
7.7496 4.4746 2.6009 Fe
```

Output
- DOS(E_F) (states/eV per atom) = 0.441

***

(2)
## Mg2FeIrO6 (PBE with a Hubbard U)

Data for a relaxed structure of Mg2FeIrO6.

Cell and atoms, written as POSCAR:
```
Mg2FeIrO6
1.0
5.1438 0.0000 -0.0001
0.0000 5.3152 -0.0005
-0.0418 0.0006 7.5755
O Fe Mg Ir
12 2 4 2
Cartesian
4.1773 4.3437 7.0698 O
0.8880 0.9982 3.2285 O
1.6264 3.6299 3.2821 O
4.4500 3.0386 1.9267 O
1.6630 3.6556 0.5587 O
0.6520 2.2772 5.6482 O
4.2140 4.3176 4.3464 O
1.8572 4.9349 5.7145 O
3.4390 1.6602 7.0161 O
3.2448 0.3809 1.8604 O
0.9247 0.9721 0.5050 O
3.4756 1.6859 4.2928 O
-0.0418 2.6582 7.5752 Fe
2.5510 0.0003 3.7877 Fe
0.0328 5.0081 1.8622 Mg
2.5182 2.3504 1.9245 Mg
2.5838 2.9654 5.6503 Mg
5.0692 0.3077 5.7127 Mg
5.1229 2.6579 3.7874 Ir
2.5719 0.0000 -0.0001 Ir
```

Output
- DOS(E_F) (states/eV per atom) = 0.482

***

Number 1: E_tot -64.1 eV/cell. Number 2: E_tot -127.6 eV/cell.